# 1
VASP calculation (PBEsol) on an optimized crystal structure of CdSnIr3.

Cell: 4.792 4.792 4.792 Å, 90.00 90.00 90.00°
Space group Pm-3m (No. 221)
Inequivalent atoms, fractional coordinates:
1 Cd 0.000 0.000 0.000
2 Sn 0.500 0.500 0.500
3 Ir 0.000 0.500 0.500


# 2
VASP calculation (PBEsol) on an optimized crystal structure of SrCdIr.

Cell: 3.2902 3.2902 7.1188 Å, 90.00 90.00 120.00°
Space group P3m1 (No. 156)
Inequivalent atoms, fractional coordinates:
1 Sr 0.0000 0.0000 0.0000
2 Cd 0.6667 0.3333 0.5983
3 Ir 0.3333 0.6667 0.3109


# 3
VASP calculation (PBEsol) on an optimized crystal structure of SrCdIr2.

Cell: 2.868 3.868 7.398 Å, 90.00 90.00 90.00°
Space group Pmm2 (No. 25)
Inequivalent atoms, fractional coordinates:
1 Sr 0.000 0.000 0.000
2 Cd 0.500 0.500 0.329
3 Ir 0.000 0.000 0.584
4 Ir 0.500 0.500 0.704


# 4
VASP calculation (PBEsol) on an optimized crystal structure of SrCdIr.

Cell: 6.721 6.721 6.721 Å, 90.00 90.00 90.00°
Space group F-43m (No. 216)
Inequivalent atoms, fractional coordinates:
1 Sr 0.000 0.000 0.000
2 Cd 0.000 0.000 0.500
3 Ir 0.250 0.250 0.750


# 5
VASP calculation (PBEsol) on an optimized crystal structure of SrCdIr2.

Cell: 2.937 2.937 8.811 Å, 90.00 90.00 90.00°
Space group P4mm (No. 99)
Inequivalent atoms, fractional coordinates:
1 Sr 0.000 0.000 0.000
2 Cd 0.500 0.500 0.309
3 Ir 0.000 0.000 0.546
4 Ir 0.500 0.500 0.725


# 6
VASP calculation (PBEsol) on an optimized crystal structure of SrCd2Ir.

Cell: 3.1180 3.1180 29.9787 Å, 90.00 90.00 120.00°
Space group R-3m (No. 166, hexagonal axes)
Inequivalent atoms, fractional coordinates:
1 Sr 0.0000 0.0000 0.0000
2 Cd 0.0000 0.0000 0.2378
3 Ir 0.0000 0.0000 0.5000


# 7
VASP calculation (PBEsol) on an optimized crystal structure of SrCdIr2.

Cell: 10.939 2.923 5.210 Å, 90.00 113.62 90.00°
Space group Cm (No. 8)
Inequivalent atoms, fractional coordinates:
1 Sr 0.000 0.000 0.000
2 Cd 0.205 0.000 0.625
3 Ir 0.267 0.500 0.140
4 Ir 0.457 0.000 0.477


# 8
VASP calculation (PBEsol) on an optimized crystal structure of SrCdIr2.

Cell: 4.236 4.236 8.330 Å, 90.00 90.00 90.00°
Space group I4/mmm (No. 139)
Inequivalent atoms, fractional coordinates:
1 Sr 0.000 0.000 0.000
2 Cd 0.000 0.000 0.500
3 Ir 0.000 0.500 0.250


# 9
VASP calculation (PBEsol) on an optimized crystal structure of Ta2CdIr2.

Cell: 7.669 7.669 2.897 Å, 90.00 90.00 90.00°
Space group P4/mbm (No. 127)
Inequivalent atoms, fractional coordinates:
1 Ta 0.162 0.338 0.000
2 Cd 0.000 0.000 0.500
3 Ir 0.131 0.631 0.500


# 10
VASP calculation (PBEsol) on an optimized crystal structure of TaCd2Ir.

Cell: 6.470 6.470 6.470 Å, 90.00 90.00 90.00°
Space group Fm-3m (No. 225)
Inequivalent atoms, fractional coordinates:
1 Ta 0.000 0.000 0.000
2 Cd 0.250 0.250 0.250
3 Ir 0.000 0.000 0.500

Properties
Energy above the most stable polymorph in this dataset: 94 meV per atom


# 11
VASP calculation (PBEsol) on an optimized crystal structure of TaCd2Ir.

Cell: 2.859 2.859 8.444 Å, 90.00 90.00 90.00°
Space group P4/mmm (No. 123)
Inequivalent atoms, fractional coordinates:
1 Ta 0.000 0.000 0.000
2 Cd 0.500 0.500 0.267
3 Ir 0.000 0.000 0.500

Properties
Energy above the most stable polymorph in this dataset: 0 meV per atom


# 12
VASP calculation (PBEsol) on an optimized crystal structure of TaCdIr2.

Cell: 3.273 3.273 6.036 Å, 90.00 90.00 90.00°
Space group P4/mmm (No. 123)
Inequivalent atoms, fractional coordinates:
1 Ta 0.000 0.000 0.000
2 Cd 0.000 0.000 0.500
3 Ir 0.500 0.500 0.235


# 13
VASP calculation (PBEsol) on an optimized crystal structure of TaCd2Ir.

Cell: 4.781 4.781 3.021 Å, 90.00 90.00 90.00°
Space group P4/mmm (No. 123)
Inequivalent atoms, fractional coordinates:
1 Ta 0.000 0.000 0.000
2 Cd 0.000 0.500 0.500
3 Ir 0.500 0.500 0.000

Properties
Energy above the most stable polymorph in this dataset: 240 meV per atom


# 14
VASP calculation (PBEsol) on an optimized crystal structure of CdTcIr4.

Cell: 7.244 7.244 7.244 Å, 90.00 90.00 90.00°
Space group F-43m (No. 216)
Inequivalent atoms, fractional coordinates:
1 Cd 0.000 0.000 0.000
2 Tc 0.250 0.250 0.250
3 Ir 0.125 0.125 0.625


# 15
VASP calculation (PBEsol) on an optimized crystal structure of CdTcIr.

Cell: 6.005 6.005 6.005 Å, 90.00 90.00 90.00°
Space group F-43m (No. 216)
Inequivalent atoms, fractional coordinates:
1 Cd 0.000 0.000 0.000
2 Tc 0.250 0.250 0.250
3 Ir 0.000 0.000 0.500

Properties
Energy above the most stable polymorph in this dataset: 681 meV per atom


# 16
VASP calculation (PBEsol) on an optimized crystal structure of CdTcIr.

Cell: 2.793 2.793 12.000 Å, 90.00 90.00 90.00°
Space group I4mm (No. 107)
Inequivalent atoms, fractional coordinates:
1 Cd 0.000 0.000 0.000
2 Tc 0.000 0.000 0.318
3 Ir 0.000 0.000 0.681

Properties
Energy above the most stable polymorph in this dataset: 0 meV per atom


# 17
VASP calculation (PBEsol) on an optimized crystal structure of Cd2TcIr.

Cell: 9.104 2.819 5.154 Å, 90.00 98.44 90.00°
Space group Cm (No. 8)
Inequivalent atoms, fractional coordinates:
1 Cd 0.000 0.000 0.000
2 Cd 0.243 0.000 0.767
3 Tc 0.253 0.500 0.295
4 Ir 0.491 0.000 0.471

Properties
Energy above the most stable polymorph in this dataset: 0 meV per atom


# 18
VASP calculation (PBEsol) on an optimized crystal structure of CdTcIr.

Cell: 2.7715 2.7715 6.9777 Å, 90.00 90.00 120.00°
Space group P3m1 (No. 156)
Inequivalent atoms, fractional coordinates:
1 Cd 0.0000 0.0000 0.0000
2 Tc 0.6667 0.3333 0.3534
3 Ir 0.3333 0.6667 0.6456

Properties
Energy above the most stable polymorph in this dataset: 80 meV per atom


# 19
VASP calculation (PBEsol) on an optimized crystal structure of Cd2TcIr.

Cell: 3.963 3.963 8.431 Å, 90.00 90.00 90.00°
Space group I4/mmm (No. 139)
Inequivalent atoms, fractional coordinates:
1 Cd 0.000 0.500 0.250
2 Tc 0.000 0.000 0.000
3 Ir 0.000 0.000 0.500

Properties
Energy above the most stable polymorph in this dataset: 224 meV per atom


# 20
VASP calculation (PBEsol) on an optimized crystal structure of Cd3TcIr.

Cell: 5.019 5.019 5.019 Å, 90.00 90.00 90.00°
Space group Pm-3m (No. 221)
Inequivalent atoms, fractional coordinates:
1 Cd 0.000 0.000 0.500
2 Tc 0.500 0.500 0.500
3 Ir 0.000 0.000 0.000


For the records above, the corresponding ΔE_f values read 1.7340, 0.4370, 0.1351, 0.1703, 0.2277, 0.4013, 0.1663, 0.4114, -0.3802, 0.4125, 0.3189, -0.2518, 0.5585, 0.5161, 0.7176, 0.0364, 0.2892, 0.1159, 0.5133, 1.3794 eV per atom.
For the records above, the corresponding E values read -5.2513, -3.8499, -5.5360, -4.1166, -5.4434, -3.1131, -5.5047, -5.2597, -9.5694, -5.7796, -5.8732, -8.6006, -5.6336, -8.1100, -6.7113, -7.3926, -5.5818, -7.3130, -5.3577, -3.5568 eV/atom.